(1)
{
  "formula": "Pm6NdDy2Mg",
  "functional": "PBE",
  "state": "relaxed",
  "vol_a3_per_atom": 33.2,
  "e_tot_ev_per_atom": -4.29,
  "magnetic_moment_mub_per_atom": 0.00,
  "cell": [[8.6616, -1.6909, -1.7548], [1.1506, 8.8217, -2.1914], [1.1506, -2.5168, 8.7344]],
  "species": ["Pm", "Pm", "Pm", "Pm", "Pm", "Pm", "Pm", "Pm", "Pm", "Pm", "Pm", "Pm", "Dy", "Dy", "Dy", "Dy", "Mg", "Mg", "Nd", "Nd"],
  "fractional_positions": [[0.4072, 0.5257, 0.2690], [0.6994, 0.9665, 0.5422], [0.1994, 0.5422, 0.9665], [0.5928, 0.4743, 0.7310], [0.9072, 0.2690, 0.5257], [0.9483, 0.8757, 0.2070], [0.3006, 0.0335, 0.4578], [0.8006, 0.4578, 0.0335], [0.0928, 0.7310, 0.4743], [0.5517, 0.7930, 0.1243], [0.4483, 0.2070, 0.8757], [0.0517, 0.1243, 0.7930], [0.4457, 0.7809, 0.6778], [0.9457, 0.6778, 0.7809], [0.0543, 0.3222, 0.2191], [0.5543, 0.2191, 0.3222], [0.2500, 0.4375, 0.5625], [0.7500, 0.5625, 0.4375], [0.7500, 0.0333, 0.9667], [0.2500, 0.9667, 0.0333]]
}

=====

(2)
{
  "formula": "Pm6Nd3Dy2Mg",
  "functional": "PBE",
  "state": "relaxed",
  "vol_a3_per_atom": 33.3,
  "e_tot_ev_per_atom": -4.44,
  "magnetic_moment_mub_per_atom": 0.00,
  "cell": [[-2.0125, -5.7117, -1.6545], [4.9478, 0.6099, 3.8156], [-8.1235, 1.5414, 8.5552]],
  "species": ["Nd", "Nd", "Nd", "Pm", "Pm", "Pm", "Pm", "Pm", "Pm", "Mg", "Dy", "Dy"],
  "fractional_positions": [[0.8332, 0.1668, 0.5000], [0.1668, 0.8332, 0.5000], [0.5000, 0.5000, 0.5000], [0.9200, 0.5883, 0.7557], [0.0800, 0.4117, 0.2443], [0.4117, 0.0800, 0.2443], [0.2514, 0.2514, 0.7542], [0.5883, 0.9200, 0.7557], [0.7486, 0.7486, 0.2458], [0.0000, 0.0000, 0.0000], [0.6665, 0.3335, 0.0000], [0.3335, 0.6665, 0.0000]]
}

=====

(3)
{
  "formula": "Pm2Nd6Dy3Mg",
  "functional": "PBE",
  "state": "relaxed",
  "vol_a3_per_atom": 33.1,
  "e_tot_ev_per_atom": -4.45,
  "magnetic_moment_mub_per_atom": 0.00,
  "cell": [[6.2602, -0.0026, -0.0068], [-3.1308, 5.4211, -0.0068], [-1.0330, -1.7886, 11.7152]],
  "species": ["Nd", "Nd", "Nd", "Nd", "Nd", "Nd", "Mg", "Dy", "Dy", "Dy", "Pm", "Pm"],
  "fractional_positions": [[0.7519, 0.7519, 0.2522], [0.5859, 0.9169, 0.7488], [0.0831, 0.4141, 0.2512], [0.4141, 0.0831, 0.2512], [0.2481, 0.2481, 0.7478], [0.9169, 0.5859, 0.7488], [0.0000, 0.0000, 0.0000], [0.5000, 0.5000, 0.5000], [0.8338, 0.1662, 0.5000], [0.1662, 0.8338, 0.5000], [0.6670, 0.3330, 0.0000], [0.3330, 0.6670, 0.0000]]
}

=====

(4)
{
  "formula": "Pr6NdDy2Mg",
  "functional": "PBE",
  "state": "relaxed",
  "vol_a3_per_atom": 34.3,
  "e_tot_ev_per_atom": -4.32,
  "magnetic_moment_mub_per_atom": 0.00,
  "cell": [[1.6320, -7.0413, -6.2627], [-4.0954, -4.9048, 5.9032], [-6.2768, 3.9128, -4.5791]],
  "species": ["Mg", "Mg", "Nd", "Nd", "Pr", "Pr", "Pr", "Pr", "Pr", "Pr", "Pr", "Pr", "Pr", "Pr", "Pr", "Pr", "Dy", "Dy", "Dy", "Dy"],
  "fractional_positions": [[0.7500, 0.5981, 0.4019], [0.2500, 0.4019, 0.5981], [0.7500, 0.0641, 0.9359], [0.2500, 0.9359, 0.0641], [0.4039, 0.5617, 0.3280], [0.1718, 0.5395, 0.9666], [0.5961, 0.4383, 0.6720], [0.3282, 0.0334, 0.4605], [0.9039, 0.3280, 0.5617], [0.9247, 0.9206, 0.2604], [0.4247, 0.2604, 0.9206], [0.0753, 0.0794, 0.7396], [0.5753, 0.7396, 0.0794], [0.6718, 0.9666, 0.5395], [0.8282, 0.4605, 0.0334], [0.0961, 0.6720, 0.4383], [0.5942, 0.2009, 0.2680], [0.9058, 0.7320, 0.7991], [0.0942, 0.2680, 0.2009], [0.4058, 0.7991, 0.7320]]
}

=====

(5)
{
  "formula": "Pr2Nd6Dy3Mg",
  "functional": "PBE",
  "state": "relaxed",
  "vol_a3_per_atom": 33.4,
  "e_tot_ev_per_atom": -4.45,
  "magnetic_moment_mub_per_atom": 0.00,
  "cell": [[6.2730, -0.0027, -0.0082], [-3.1373, 5.4321, -0.0082], [-1.0353, -1.7926, 11.7702]],
  "species": ["Nd", "Nd", "Nd", "Nd", "Nd", "Nd", "Pr", "Pr", "Dy", "Dy", "Dy", "Mg"],
  "fractional_positions": [[0.7529, 0.7529, 0.2535], [0.5864, 0.9166, 0.7474], [0.4136, 0.0834, 0.2526], [0.9166, 0.5864, 0.7474], [0.0834, 0.4136, 0.2526], [0.2471, 0.2471, 0.7465], [0.6670, 0.3330, 0.0000], [0.3330, 0.6670, 0.0000], [0.1660, 0.8340, 0.5000], [0.5000, 0.5000, 0.5000], [0.8340, 0.1660, 0.5000], [0.0000, 0.0000, 0.0000]]
}

=====

(6)
{
  "formula": "Pr2NdDy4Mg",
  "functional": "PBE",
  "state": "relaxed",
  "vol_a3_per_atom": 32.2,
  "e_tot_ev_per_atom": -4.26,
  "magnetic_moment_mub_per_atom": 0.00,
  "cell": [[-1.2333, -2.3169, -4.2658], [4.1952, -2.7412, 0.2759], [-0.8427, -9.9032, 5.6222]],
  "species": ["Nd", "Dy", "Dy", "Dy", "Dy", "Pr", "Pr", "Mg"],
  "fractional_positions": [[0.5000, 0.5000, 0.0000], [0.0000, 0.7528, 0.7469], [0.0000, 0.2472, 0.2531], [0.5000, 0.2528, 0.7469], [0.5000, 0.7472, 0.2531], [0.0000, 0.0000, 0.0000], [0.5000, 0.0000, 0.5000], [0.0000, 0.5000, 0.5000]]
}

=====

(7)
{
  "formula": "Pr6Nd3Dy2Mg",
  "functional": "PBE",
  "state": "relaxed",
  "vol_a3_per_atom": 34.2,
  "e_tot_ev_per_atom": -4.46,
  "magnetic_moment_mub_per_atom": 0.00,
  "cell": [[-1.9272, 4.6635, -3.8414], [-4.1226, -4.3877, 1.9928], [-0.5216, 6.5735, 10.0019]],
  "species": ["Dy", "Dy", "Nd", "Nd", "Nd", "Pr", "Pr", "Pr", "Pr", "Pr", "Pr", "Mg"],
  "fractional_positions": [[0.6665, 0.3335, 0.0000], [0.3335, 0.6665, 0.0000], [0.8329, 0.1671, 0.5000], [0.1671, 0.8329, 0.5000], [0.5000, 0.5000, 0.5000], [0.4117, 0.0800, 0.2441], [0.2512, 0.2512, 0.7542], [0.9200, 0.5883, 0.7559], [0.0800, 0.4117, 0.2441], [0.5883, 0.9200, 0.7559], [0.7488, 0.7488, 0.2458], [0.0000, 0.0000, 0.0000]]
}

=====

(8)
{
  "formula": "Pr6Nd2Dy3Mg",
  "functional": "PBE",
  "state": "relaxed",
  "vol_a3_per_atom": 33.7,
  "e_tot_ev_per_atom": -4.46,
  "magnetic_moment_mub_per_atom": 0.00,
  "cell": [[-1.5378, 5.1360, -3.3053], [2.4596, -5.0083, -2.9216], [-11.1295, -4.3708, 0.3898]],
  "species": ["Pr", "Pr", "Pr", "Pr", "Pr", "Pr", "Nd", "Nd", "Dy", "Dy", "Dy", "Mg"],
  "fractional_positions": [[0.7526, 0.7526, 0.2528], [0.4139, 0.0833, 0.2519], [0.2474, 0.2474, 0.7472], [0.9167, 0.5861, 0.7481], [0.5861, 0.9167, 0.7481], [0.0833, 0.4139, 0.2519], [0.6671, 0.3329, 0.0000], [0.3329, 0.6671, 0.0000], [0.8339, 0.1661, 0.5000], [0.1661, 0.8339, 0.5000], [0.5000, 0.5000, 0.5000], [0.0000, 0.0000, 0.0000]]
}

=====

(9)
{
  "formula": "PrNd2Dy4Mg",
  "functional": "PBE",
  "state": "relaxed",
  "vol_a3_per_atom": 32.1,
  "e_tot_ev_per_atom": -4.26,
  "magnetic_moment_mub_per_atom": 0.00,
  "cell": [[-0.3317, -4.4818, -2.2003], [0.7196, -2.2287, 4.4311], [-9.3903, -2.2728, 6.0448]],
  "species": ["Nd", "Nd", "Pr", "Dy", "Dy", "Dy", "Dy", "Mg"],
  "fractional_positions": [[0.5000, 0.0000, 0.5000], [0.0000, 0.0000, 0.0000], [0.5000, 0.5000, 0.0000], [0.0000, 0.2462, 0.2541], [0.0000, 0.7538, 0.7459], [0.5000, 0.2537, 0.7460], [0.5000, 0.7463, 0.2540], [0.0000, 0.5000, 0.5000]]
}

=====

(10)
{
  "formula": "Pr4NdDy2Mg",
  "functional": "PBE",
  "state": "relaxed",
  "vol_a3_per_atom": 33.5,
  "e_tot_ev_per_atom": -4.28,
  "magnetic_moment_mub_per_atom": 0.00,
  "cell": [[-5.6657, -1.0256, 0.6850], [0.0147, -3.2798, -4.7888], [1.7060, -9.6900, -0.3979]],
  "species": ["Mg", "Nd", "Pr", "Pr", "Pr", "Pr", "Dy", "Dy"],
  "fractional_positions": [[0.0000, 0.5000, 0.5000], [0.5000, 0.5000, 0.0000], [0.0000, 0.2329, 0.2673], [0.0000, 0.7671, 0.7327], [0.5000, 0.2685, 0.7315], [0.5000, 0.7315, 0.2685], [0.0000, 0.0000, 0.0000], [0.5000, 0.0000, 0.5000]]
}

=====

(11)
{
  "formula": "Pr2NdDyMg",
  "functional": "PBE",
  "state": "relaxed",
  "vol_a3_per_atom": 33.4,
  "e_tot_ev_per_atom": -3.96,
  "magnetic_moment_mub_per_atom": 0.00,
  "cell": [[7.5065, 0.0000, 0.0000], [0.0000, 7.2843, 1.4064], [0.0000, -1.1368, 5.8897]],
  "species": ["Mg", "Mg", "Dy", "Dy", "Pr", "Pr", "Pr", "Pr", "Nd", "Nd"],
  "fractional_positions": [[0.0000, 0.0000, 0.0000], [0.0000, 0.0000, 0.5000], [0.3667, 0.0000, 0.7500], [0.6333, 0.0000, 0.2500], [0.6867, 0.7192, 0.7499], [0.6867, 0.2808, 0.7501], [0.3133, 0.2808, 0.2501], [0.3133, 0.7192, 0.2499], [0.8457, 0.5000, 0.2500], [0.1543, 0.5000, 0.7500]]
}

=====

(12)
{
  "formula": "Pr2Nd2Dy2Mg",
  "functional": "PBE",
  "state": "relaxed",
  "vol_a3_per_atom": 33.2,
  "e_tot_ev_per_atom": -4.18,
  "magnetic_moment_mub_per_atom": 0.00,
  "cell": [[-2.3083, 2.6571, 0.3677], [0.6404, -2.5728, 5.5821], [8.7315, 7.8673, -2.0380]],
  "species": ["Pr", "Pr", "Nd", "Nd", "Dy", "Dy", "Mg"],
  "fractional_positions": [[0.4486, 0.8972, 0.2345], [0.5514, 0.1028, 0.7655], [0.2339, 0.4678, 0.3608], [0.7661, 0.5322, 0.6392], [0.6674, 0.3349, 0.0816], [0.3326, 0.6651, 0.9184], [0.0000, 0.0000, 0.5000]]
}